Entry 1:
Entry from Alexandria: a relaxed structure of SrSn2Hg2 (PBE).

## Properties
Formation energy from the elements   -21.5 kJ/mol of atoms
E_tot   -22.8 eV/cell
M_tot   0.000 μB/cell
Fermi-level density of states   0.5483 states/eV/atom

```
data_SrSn2Hg2
_chemical_formula_sum 'Sr2 Sn4 Hg4'
_cell_length_a 8.591
_cell_length_b 8.591
_cell_length_c 3.847
_cell_angle_alpha 90.00
_cell_angle_beta 90.00
_cell_angle_gamma 90.00
_symmetry_space_group_name_H-M 'P 4/m b m'
_symmetry_Int_Tables_number 127
_symmetry_space_group_name_Hall '-P 4 2ab'
loop_
_atom_site_label
_atom_site_fract_x
_atom_site_fract_y
_atom_site_fract_z
Sr1 0.000 0.000 0.000
Sn1 0.174 0.326 0.500
Hg1 0.126 0.626 0.000
```

=====

Entry 2:
Entry from Alexandria: a relaxed structure of Sr3Sn2Hg2 (PBE).

## Properties
Formation energy from the elements   -55.8 kJ/mol of atoms
E_tot   -35.4 eV/cell
M_tot   0.000 μB/cell
Fermi-level density of states   0.4519 states/eV/atom

```
data_Sr3Sn2Hg2
_chemical_formula_sum 'Sr6 Sn4 Hg4'
_cell_length_a 12.088
_cell_length_b 5.121
_cell_length_c 7.763
_cell_angle_alpha 90.00
_cell_angle_beta 107.17
_cell_angle_gamma 90.00
_symmetry_space_group_name_H-M 'C 1 2/m 1'
_symmetry_Int_Tables_number 12
loop_
_symmetry_equiv_pos_as_xyz
'x,y,z'
'-x,-y,-z'
'-x,y,-z'
'x,-y,z'
'x+1/2,y+1/2,z'
'-x+1/2,-y+1/2,-z'
'-x+1/2,y+1/2,-z'
'x+1/2,-y+1/2,z'
loop_
_atom_site_label
_atom_site_fract_x
_atom_site_fract_y
_atom_site_fract_z
Sr1 0.000 0.000 0.000
Sr2 0.164 0.000 0.625
Sn1 0.043 0.500 0.332
Hg1 0.189 0.500 0.932
```

=====

Entry 3:
Entry from Alexandria: a relaxed structure of Sr2Sn3Hg3 (PBE).

## Properties
Formation energy from the elements   -34.3 kJ/mol of atoms
E_tot   -19.1 eV/cell
M_tot   0.000 μB/cell
Fermi-level density of states   0.6289 states/eV/atom

```
data_Sr2Sn3Hg3
_chemical_formula_sum 'Sr2 Sn3 Hg3'
_cell_length_a 4.789
_cell_length_b 4.811
_cell_length_c 9.791
_cell_angle_alpha 90.00
_cell_angle_beta 90.00
_cell_angle_gamma 90.00
_symmetry_space_group_name_H-M 'P m m m'
_symmetry_Int_Tables_number 47
loop_
_symmetry_equiv_pos_as_xyz
'x,y,z'
'-x,-y,-z'
'-x,-y,z'
'x,y,-z'
'x,-y,-z'
'-x,y,z'
'-x,y,-z'
'x,-y,z'
loop_
_atom_site_label
_atom_site_fract_x
_atom_site_fract_y
_atom_site_fract_z
Sr1 0.000 0.000 0.247
Sn1 0.000 0.500 0.000
Sn2 0.000 0.500 0.500
Sn3 0.500 0.000 0.500
Hg1 0.500 0.000 0.000
Hg2 0.500 0.500 0.258
```

=====

Entry 4:
Entry from Alexandria: a relaxed structure of Sr3Sn6Hg5 (PBE).

## Properties
Formation energy from the elements   -32.0 kJ/mol of atoms
E_tot   -70.4 eV/cell
M_tot   0.000 μB/cell
Fermi-level density of states   0.3572 states/eV/atom

```
data_Sr3Sn6Hg5
_chemical_formula_sum 'Sr6 Sn12 Hg10'
_cell_length_a 4.770
_cell_length_b 14.500
_cell_length_c 11.761
_cell_angle_alpha 90.00
_cell_angle_beta 90.00
_cell_angle_gamma 90.00
_symmetry_space_group_name_H-M 'P m m n'
_symmetry_Int_Tables_number 59
loop_
_symmetry_equiv_pos_as_xyz
'x,y,z'
'-x,-y,-z'
'-x+1/2,-y+1/2,z'
'x+1/2,y+1/2,-z'
'x+1/2,-y,-z'
'-x+1/2,y,z'
'-x,y+1/2,-z'
'x,-y+1/2,z'
loop_
_atom_site_label
_atom_site_fract_x
_atom_site_fract_y
_atom_site_fract_z
Sr1 0.250 0.063 0.248
Sr2 0.250 0.750 0.251
Sn1 0.250 0.093 0.877
Sn2 0.250 0.250 0.047
Sn3 0.250 0.250 0.451
Sn4 0.250 0.599 0.523
Hg1 0.250 0.092 0.633
Hg2 0.250 0.602 0.964
Hg3 0.250 0.750 0.750
```

=====

Entry 5:
Entry from Alexandria: a relaxed structure of Sr3Sn3Hg (PBE).

## Properties
Formation energy from the elements   -59.4 kJ/mol of atoms
E_tot   -86.7 eV/cell
M_tot   0.000 μB/cell
Fermi-level density of states   0.2750 states/eV/atom

```
data_Sr3Sn3Hg
_chemical_formula_sum 'Sr12 Sn12 Hg4'
_cell_length_a 11.977
_cell_length_b 5.098
_cell_length_c 16.053
_cell_angle_alpha 90.00
_cell_angle_beta 110.32
_cell_angle_gamma 90.00
_symmetry_space_group_name_H-M 'C 1 2/m 1'
_symmetry_Int_Tables_number 12
loop_
_symmetry_equiv_pos_as_xyz
'x,y,z'
'-x,-y,-z'
'-x,y,-z'
'x,-y,z'
'x+1/2,y+1/2,z'
'-x+1/2,-y+1/2,-z'
'-x+1/2,y+1/2,-z'
'x+1/2,-y+1/2,z'
loop_
_atom_site_label
_atom_site_fract_x
_atom_site_fract_y
_atom_site_fract_z
Sr1 0.040 0.000 0.383
Sr2 0.099 0.000 0.923
Sr3 0.240 0.000 0.227
Sn1 0.028 0.500 0.229
Sn2 0.114 0.500 0.076
Sn3 0.132 0.500 0.537
Hg1 0.247 0.500 0.387
```

=====

Entry 6:
Entry from Alexandria: a relaxed structure of Sr2Sn3Hg (PBE).

## Properties
Formation energy from the elements   -42.8 kJ/mol of atoms
E_tot   -18.3 eV/cell
Energy relative to the lowest polymorph listed for this composition   51.7 meV/atom
M_tot   0.000 μB/cell
Fermi-level density of states   0.4695 states/eV/atom

```
data_Sr2Sn3Hg
_chemical_formula_sum 'Sr2 Sn3 Hg1'
_cell_length_a 4.695
_cell_length_b 4.955
_cell_length_c 8.378
_cell_angle_alpha 90.00
_cell_angle_beta 90.00
_cell_angle_gamma 90.00
_symmetry_space_group_name_H-M 'P m m 2'
_symmetry_Int_Tables_number 25
loop_
_symmetry_equiv_pos_as_xyz
'x,y,z'
'-x,-y,z'
'-x,y,z'
'x,-y,z'
loop_
_atom_site_label
_atom_site_fract_x
_atom_site_fract_y
_atom_site_fract_z
Sr1 0.000 0.000 0.000
Sr2 0.000 0.500 0.486
Sn1 0.500 0.000 0.328
Sn2 0.500 0.000 0.669
Sn3 0.500 0.500 0.155
Hg1 0.500 0.500 0.821
```

=====

Entry 7:
Entry from Alexandria: a relaxed structure of Sr2Sn2Hg (PBE).

## Properties
Formation energy from the elements   -49.1 kJ/mol of atoms
E_tot   -28.4 eV/cell
Energy relative to the lowest polymorph listed for this composition   80.0 meV/atom
M_tot   0.344 μB/cell
Fermi-level density of states   0.4477 states/eV/atom

```
data_Sr2Sn2Hg
_chemical_formula_sum 'Sr4 Sn4 Hg2'
_cell_length_a 8.029
_cell_length_b 8.029
_cell_length_c 5.046
_cell_angle_alpha 90.00
_cell_angle_beta 90.00
_cell_angle_gamma 90.00
_symmetry_space_group_name_H-M 'P 4/m b m'
_symmetry_Int_Tables_number 127
_symmetry_space_group_name_Hall '-P 4 2ab'
loop_
_atom_site_label
_atom_site_fract_x
_atom_site_fract_y
_atom_site_fract_z
Sr1 0.169 0.331 0.000
Sn1 0.133 0.633 0.500
Hg1 0.000 0.000 0.500
```

=====

Entry 8:
Entry from Alexandria: a relaxed structure of Sr4Sn5Hg3 (PBE).

## Properties
Formation energy from the elements   -36.6 kJ/mol of atoms
E_tot   -64.4 eV/cell
M_tot   0.000 μB/cell
Fermi-level density of states   0.3505 states/eV/atom

```
data_Sr4Sn5Hg3
_chemical_formula_sum 'Sr8 Sn10 Hg6'
_cell_length_a 15.971
_cell_length_b 5.311
_cell_length_c 11.318
_cell_angle_alpha 90.00
_cell_angle_beta 118.54
_cell_angle_gamma 90.00
_symmetry_space_group_name_H-M 'C 1 2/m 1'
_symmetry_Int_Tables_number 12
loop_
_symmetry_equiv_pos_as_xyz
'x,y,z'
'-x,-y,-z'
'-x,y,-z'
'x,-y,z'
'x+1/2,y+1/2,z'
'-x+1/2,-y+1/2,-z'
'-x+1/2,y+1/2,-z'
'x+1/2,-y+1/2,z'
loop_
_atom_site_label
_atom_site_fract_x
_atom_site_fract_y
_atom_site_fract_z
Sr1 0.032 0.000 0.330
Sr2 0.234 0.500 0.235
Sn1 0.000 0.500 0.000
Sn2 0.092 0.500 0.627
Sn3 0.230 0.500 0.537
Hg1 0.000 0.000 0.000
Hg2 0.190 0.500 0.926
```